Version 1
Compound: Ta2AlSe
Source: the Alexandria database
Functional: PBE
Structure: relaxed

Unit cell a=3.1608 b=3.1608 c=25.9457 alpha=90.00 beta=90.00 gamma=120.00
Space group R3m (No. 160, hexagonal axes)
Inequivalent atoms, fractional coordinates:
Ta 0.0000 0.0000 0.0000 x3
Ta 0.0000 0.0000 0.2447 x3
Al 0.0000 0.0000 0.4966 x3
Se 0.0000 0.0000 0.7373 x3

Output
Crystal system   trigonal
DOS(E_F)   6.53 states/eV per cell

***

Version 2
Compound: Ta2AlSe
Source: the Alexandria database
Functional: PBE
Structure: relaxed

Unit cell a=3.3717 b=4.6042 c=8.9782 alpha=90.00 beta=90.00 gamma=90.00
Space group Imm2 (No. 44)
Inequivalent atoms, fractional coordinates:
Ta 0.0000 0.0000 0.0000 x2
Ta 0.0000 0.5000 0.2399 x2
Al 0.0000 0.0000 0.4933 x2
Se 0.0000 0.5000 0.7270 x2

Output
Crystal system   orthorhombic
DOS(E_F)   5.20 states/eV per cell

***

The structure with the least stability is version 2.

***

Version 1
Compound: TaAlSe3
Source: the Alexandria database
Functional: PBE
Structure: relaxed

Unit cell a=5.0650 b=5.0650 c=5.0650 alpha=90.00 beta=90.00 gamma=90.00
Space group Pm-3m (No. 221)
Inequivalent atoms, fractional coordinates:
Ta 0.0000 0.0000 0.0000 x1
Al 0.5000 0.5000 0.5000 x1
Se 0.0000 0.0000 0.5000 x3

Output
Crystal system   cubic
DOS(E_F)   2.39 states/eV per cell

***

Version 2
Compound: TaAlSe3
Source: the Alexandria database
Functional: PBE
Structure: relaxed

Unit cell a=4.7780 b=4.7780 c=4.7780 alpha=90.00 beta=90.00 gamma=90.00
Space group Pm-3m (No. 221)
Inequivalent atoms, fractional coordinates:
Ta 0.0000 0.0000 0.0000 x1
Al 0.5000 0.5000 0.5000 x1
Se 0.0000 0.5000 0.5000 x3

Output
Crystal system   cubic
DOS(E_F)   3.14 states/eV per cell

***

The structure with the least stability is version 2.

***

Version 1
Compound: TbAlSe3
Source: the Alexandria database
Functional: PBE
Structure: relaxed

Unit cell a=12.8365 b=9.0524 c=4.2781 alpha=90.00 beta=90.74 gamma=90.00
Space group C2/m (No. 12)
Inequivalent atoms, fractional coordinates:
Tb 0.2367 0.0000 0.2608 x4
Al 0.0000 0.3080 0.5000 x4
Se 0.1030 0.5000 0.2434 x4
Se 0.1449 0.1939 0.7545 x8

Output
Crystal system   monoclinic

***

Version 2
Compound: TbAlSe3
Source: the Alexandria database
Functional: PBE
Structure: relaxed

Unit cell a=4.0363 b=23.7119 c=6.6813 alpha=90.00 beta=90.00 gamma=90.00
Space group Ama2 (No. 40)
Inequivalent atoms, fractional coordinates:
Tb 0.2500 0.1744 0.0000 x4
Al 0.2500 0.3725 0.9287 x4
Se 0.2500 0.0823 0.2889 x4
Se 0.2500 0.2795 0.7697 x4
Se 0.2500 0.3807 0.2825 x4

Output
Crystal system   orthorhombic
DOS(E_F)   0.00 states/eV per cell

***

The structure with the least stability is version 1.

***

Version 1
Compound: AlTeSe
Source: the Alexandria database
Functional: PBE
Structure: relaxed

Unit cell a=6.9291 b=6.9291 c=6.9291 alpha=90.00 beta=90.00 gamma=90.00
Space group F-43m (No. 216)
Inequivalent atoms, fractional coordinates:
Al 0.0000 0.0000 0.0000 x4
Te 0.2500 0.2500 0.2500 x4
Se 0.0000 0.0000 0.5000 x4

Output
Crystal system   cubic
DOS(E_F)   6.79 states/eV per cell

***

Version 2
Compound: AlTeSe
Source: the Alexandria database
Functional: PBE
Structure: relaxed

Unit cell a=6.6966 b=6.6966 c=6.6966 alpha=90.00 beta=90.00 gamma=90.00
Space group F-43m (No. 216)
Inequivalent atoms, fractional coordinates:
Al 0.0000 0.0000 0.0000 x4
Te 0.2500 0.2500 0.7500 x4
Se 0.2500 0.2500 0.2500 x4

Output
Crystal system   cubic
DOS(E_F)   11.18 states/eV per cell

***

The structure with the least stability is version 1.